Computed, not measured: a geometry-optimized Rb8P2Se structure at the GGA-PBE level of DFT.

Structure (POSCAR):
```
Rb8P2Se
1.0
-2.895 4.237 8.867
2.895 -4.237 8.867
2.895 4.237 -8.867
Rb P Se
8 2 1
Direct
0.117 0.349 0.768
0.183 0.183 0.000
0.280 0.000 0.280
0.419 0.651 0.768
0.581 0.349 0.232
0.720 0.000 0.720
0.817 0.817 0.000
0.883 0.651 0.232
0.320 0.820 0.500
0.680 0.180 0.500
0.000 0.500 0.500
```

total DFT energy (no corrections)	-2.357	eV per atom
Fermi-level density of states	3.00	states/eV/cell
M_tot	0.00	μB per formula unit
formation energy (no corrections)	-3.88	eV/f.u.

Computed, not measured: a geometry-optimized Tb12Sm5Y structure at the GGA-PBE level of DFT.

Structure (POSCAR):
```
Tb12Sm5Y
1.0
5.666 -8.704 0.000
5.666 8.704 0.000
-0.015 0.000 5.985
Tb Sm Y
12 5 1
Direct
0.008 0.343 0.051
0.157 0.489 0.551
0.176 0.176 0.446
0.321 0.321 0.946
0.343 0.008 0.051
0.489 0.157 0.551
0.511 0.843 0.449
0.657 0.992 0.949
0.679 0.679 0.054
0.824 0.824 0.554
0.843 0.511 0.449
0.992 0.657 0.949
0.000 0.000 0.000
0.168 0.832 0.500
0.335 0.665 0.000
0.665 0.335 0.000
0.832 0.168 0.500
0.500 0.500 0.500
```

total DFT energy (no corrections)	-4.648	eV per atom
energy of formation from the pure elements	0.109	eV/atom
Fermi-level density of states	33.38	states/eV/cell
M_tot	0.00	μB per formula unit

Computed, not measured: a geometry-optimized ReNiHg structure at the GGA-PBE level of DFT.

Structure (POSCAR):
```
ReNiHg
1.0
2.782 0.000 0.000
0.000 3.717 0.000
0.228 1.827 9.897
Re Ni Hg
2 2 2
Direct
0.199 0.283 0.434
0.801 0.717 0.566
0.261 0.153 0.697
0.739 0.847 0.303
0.247 0.429 0.136
0.753 0.571 0.864
```

ΔE to the lowest computed polymorph	0	meV per atom
total DFT energy (no corrections)	-5.921	eV per atom
energy of formation from the pure elements	0.256	eV/atom
Fermi-level density of states	4.12	states/eV/cell
M_tot	0.00	μB per formula unit

Computed, not measured: a geometry-optimized PuScSb2 structure at the GGA-PBE level of DFT.

Structure (POSCAR):
```
PuScSb2
1.0
2.154 1.244 6.963
-2.154 1.244 6.963
0.000 -2.487 6.963
Pu Sc Sb
1 1 2
Direct
0.000 0.000 0.000
0.500 0.500 0.500
0.245 0.245 0.245
0.755 0.755 0.755
```

ΔE to the lowest computed polymorph	0	meV per atom
total DFT energy (no corrections)	-7.991	eV per atom
Fermi-level density of states	13.16	states/eV/cell
M_tot	5.08	μB per formula unit
formation energy (no corrections)	-3.06	eV/f.u.

Computed, not measured: a geometry-optimized Y2HgSb2 structure at the GGA-PBE level of DFT.

Structure (POSCAR):
```
Y2HgSb2
1.0
8.282 0.000 0.000
0.000 8.282 0.000
0.000 0.000 4.046
Y Hg Sb
4 2 4
Direct
0.156 0.344 0.000
0.344 0.844 0.000
0.656 0.156 0.000
0.844 0.656 0.000
0.000 0.000 0.500
0.500 0.500 0.500
0.148 0.648 0.500
0.352 0.148 0.500
0.648 0.852 0.500
0.852 0.352 0.500
```

ΔE to the lowest computed polymorph	73	meV per atom
total DFT energy (no corrections)	-5.002	eV per atom
Fermi-level density of states	2.58	states/eV/cell
M_tot	0.00	μB per formula unit
formation energy (no corrections)	-3.54	eV/f.u.

Computed, not measured: a geometry-optimized TlInSnPb3 structure at the GGA-PBE level of DFT.

Structure (POSCAR):
```
TlInSnPb3
1.0
7.904 0.000 0.000
0.000 4.810 0.000
-3.019 0.000 9.523
Tl In Sn Pb
2 2 2 6
Direct
0.169 0.250 0.293
0.831 0.750 0.707
0.499 0.750 0.875
0.501 0.250 0.125
0.500 0.250 0.627
0.500 0.750 0.373
0.172 0.750 0.044
0.173 0.250 0.793
0.180 0.750 0.543
0.820 0.250 0.457
0.827 0.750 0.207
0.828 0.250 0.956
```

total DFT energy (no corrections)	-3.357	eV per atom
energy of formation from the pure elements	0.015	eV/atom
Fermi-level density of states	5.23	states/eV/cell
M_tot	0.00	μB per formula unit

Computed, not measured: a geometry-optimized Ba7Ge2Au2 structure at the GGA-PBE level of DFT.

Structure (POSCAR):
```
Ba7Ge2Au2
1.0
5.326 -5.821 0.000
5.326 5.821 0.000
0.000 0.000 8.163
Ba Ge Au
7 2 2
Direct
0.000 0.000 0.000
0.000 0.500 0.266
0.000 0.500 0.734
0.500 0.000 0.266
0.500 0.000 0.734
0.500 0.500 0.251
0.500 0.500 0.749
0.252 0.252 0.500
0.748 0.748 0.500
0.276 0.724 0.000
0.724 0.276 0.000
```

total DFT energy (no corrections)	-2.991	eV per atom
energy of formation from the pure elements	-0.332	eV/atom
Fermi-level density of states	13.27	states/eV/cell
M_tot	0.00	μB per formula unit

Computed, not measured: a geometry-optimized NiAg2Sn3S8 structure at the GGA-PBE level of DFT.

Structure (POSCAR):
```
NiAg2Sn3S8
1.0
7.174 0.000 0.000
-2.242 7.013 0.000
-2.742 -2.901 6.842
Ni Ag Sn S
1 2 3 8
Direct
0.000 0.000 0.000
0.000 0.500 0.000
0.500 0.500 0.500
0.194 0.787 0.469
0.500 0.500 0.000
0.806 0.213 0.531
0.031 0.037 0.290
0.169 0.540 0.779
0.280 0.106 0.946
0.459 0.704 0.311
0.541 0.296 0.689
0.720 0.894 0.054
0.831 0.460 0.221
0.969 0.963 0.710
```

ΔE to the lowest computed polymorph	157	meV per atom
total DFT energy (no corrections)	-4.189	eV per atom
Fermi-level density of states	0.81	states/eV/cell
M_tot	0.00	μB per formula unit
formation energy (no corrections)	-2.14	eV/f.u.

Computed, not measured: a geometry-optimized RbSn2Se3 structure at the GGA-PBE level of DFT.

Structure (POSCAR):
```
RbSn2Se3
1.0
3.979 0.000 0.000
0.000 11.964 0.000
0.000 0.000 8.186
Rb Sn Se
2 4 6
Direct
0.000 0.137 0.000
0.000 0.863 0.500
0.000 0.224 0.505
0.000 0.776 0.005
0.500 0.485 0.057
0.500 0.515 0.557
0.000 0.396 0.728
0.000 0.604 0.228
0.500 0.093 0.643
0.500 0.304 0.269
0.500 0.696 0.769
0.500 0.907 0.143
```

ΔE to the lowest computed polymorph	0	meV per atom
total DFT energy (no corrections)	-3.839	eV per atom
Fermi-level density of states	3.08	states/eV/cell
M_tot	0.00	μB per formula unit
formation energy (no corrections)	-3.61	eV/f.u.

Computed, not measured: a geometry-optimized YMnIr3 structure at the GGA-PBE level of DFT.

Structure (POSCAR):
```
YMnIr3
1.0
4.539 0.000 0.000
0.000 4.539 0.000
0.000 0.000 4.539
Y Mn Ir
1 1 3
Direct
0.000 0.000 0.000
0.500 0.500 0.500
0.000 0.500 0.500
0.500 0.000 0.500
0.500 0.500 0.000
```

ΔE to the lowest computed polymorph	0	meV per atom
total DFT energy (no corrections)	-8.072	eV per atom
energy of formation from the pure elements	0.372	eV/atom
Fermi-level density of states	5.44	states/eV/cell
M_tot	0.00	μB per formula unit

Computed, not measured: a geometry-optimized NdAlCo2H8 structure at the GGA-PBE level of DFT.

Structure (POSCAR):
```
NdAlCo2H8
1.0
2.197 1.269 5.578
-2.197 1.269 5.578
0.000 -2.537 5.578
Nd Al Co H
1 1 2 8
Direct
0.000 0.000 0.000
0.500 0.500 0.500
0.196 0.196 0.196
0.804 0.804 0.804
0.107 0.847 0.399
0.153 0.601 0.893
0.296 0.296 0.296
0.399 0.107 0.847
0.601 0.893 0.153
0.704 0.704 0.704
0.847 0.399 0.107
0.893 0.153 0.601
```

total DFT energy (no corrections)	-4.282	eV per atom
Fermi-level density of states	1.74	states/eV/cell
M_tot	0.00	μB per formula unit

Computed, not measured: a geometry-optimized BaAsPCl2 structure at the GGA-PBE level of DFT.

Structure (POSCAR):
```
BaAsPCl2
1.0
5.723 0.000 0.000
0.000 5.723 0.000
0.000 0.000 7.428
Ba As P Cl
1 1 1 2
Direct
0.000 0.000 0.000
0.500 0.500 0.500
0.000 0.000 0.500
0.000 0.500 0.000
0.500 0.000 0.000
```

ΔE to the lowest computed polymorph	888	meV per atom
total DFT energy (no corrections)	-3.056	eV per atom
Fermi-level density of states	4.10	states/eV/cell
M_tot	3.14	μB per formula unit
formation energy (no corrections)	0.40	eV/f.u.